Entry i
VASP calculation (meta-GGA SCAN) on TaPdPb3 at its PBEsol-relaxed geometry.

Summary:
magnetization: 0.0 μB per cell
DOS at the Fermi energy: 2.953 states/eV per cell

abc: 5.3676 5.3676 5.3676
angles: 90.00 90.00 90.00
Element x y z (fractional)
Ta 0.0000 0.0000 0.0000
Pd 0.5000 0.5000 0.5000
Pb 0.0000 0.0000 0.5000
Pb 0.0000 0.5000 0.0000
Pb 0.5000 0.0000 0.0000

---

Entry ii
VASP calculation (meta-GGA SCAN) on TaPdPb3 at its PBEsol-relaxed geometry.

Summary:
magnetization: 3.1 μB per cell
DOS at the Fermi energy: 5.830 states/eV per cell

abc: 5.1853 5.1853 5.1853
angles: 90.00 90.00 90.00
Element x y z (fractional)
Ta 0.0000 0.0000 0.0000
Pd 0.5000 0.5000 0.5000
Pb 0.0000 0.5000 0.5000
Pb 0.5000 0.0000 0.5000
Pb 0.5000 0.5000 0.0000

---

Preferred: entry i; penalty for the next structure: 28.2 kJ/mol of atoms.

---

Entry i
VASP calculation (meta-GGA SCAN) on RePtPb2 at its PBEsol-relaxed geometry.

Summary:
magnetization: 0.0 μB per cell
DOS at the Fermi energy: 2.389 states/eV per cell

abc: 4.6949 4.6949 3.4491
angles: 90.00 90.00 90.07
Element x y z (fractional)
Re 0.0000 0.0000 0.0000
Pt 0.5000 0.5000 0.0000
Pb 0.0000 0.5000 0.5000
Pb 0.5000 0.0000 0.5000

---

Entry ii
VASP calculation (meta-GGA SCAN) on RePtPb2 at its PBEsol-relaxed geometry.

Summary:
magnetization: 0.8 μB per cell
DOS at the Fermi energy: 2.575 states/eV per cell

abc: 9.0291 9.0291 9.0291
angles: 20.33 20.33 20.33
Element x y z (fractional)
Re 0.0000 0.0000 0.0000
Pt 0.5000 0.5000 0.5000
Pb 0.2509 0.2509 0.2509
Pb 0.7491 0.7491 0.7491

---

Preferred: entry i; penalty for the next structure: 1.0 kJ/mol of atoms.

---

Entry i
VASP calculation (meta-GGA SCAN) on PtRhPb2 at its PBEsol-relaxed geometry.

Summary:
magnetization: 0.0 μB per cell
DOS at the Fermi energy: 2.171 states/eV per cell

abc: 4.1661 5.6086 5.6086
angles: 37.19 90.00 90.00
Element x y z (fractional)
Pt 0.0000 0.0000 0.0000
Rh 0.5000 0.8342 0.8342
Pb 0.0000 0.2718 0.2718
Pb 0.5000 0.5676 0.5676

---

Entry ii
VASP calculation (meta-GGA SCAN) on PtRhPb2 at its PBEsol-relaxed geometry.

Summary:
magnetization: 0.0 μB per cell
DOS at the Fermi energy: 1.827 states/eV per cell

abc: 4.5677 3.3815 5.5943
angles: 90.00 114.05 90.00
Element x y z (fractional)
Pt 0.0000 0.0000 0.0000
Rh 0.0000 0.5000 0.5000
Pb 0.5000 0.0000 0.5000
Pb 0.5000 0.5000 0.0000

---

Preferred: entry i; penalty for the next structure: 22.5 kJ/mol of atoms.

---

Entry i
VASP calculation (meta-GGA SCAN) on Te2Pt2Pb at its PBEsol-relaxed geometry.

Summary:
magnetization: 0.0 μB per cell
DOS at the Fermi energy: 2.854 states/eV per cell

abc: 6.4079 6.4079 6.4079
angles: 137.98 137.98 60.94
Element x y z (fractional)
Te 0.2500 0.7500 0.5000
Te 0.7500 0.2500 0.5000
Pt 0.1190 0.1190 0.0000
Pt 0.8810 0.8810 0.0000
Pb 0.5000 0.5000 0.0000

---

Entry ii
VASP calculation (meta-GGA SCAN) on Te2Pt2Pb at its PBEsol-relaxed geometry.

Summary:
magnetization: 0.0 μB per cell
DOS at the Fermi energy: 2.523 states/eV per cell

abc: 8.1965 8.1965 8.1965
angles: 152.53 152.53 39.24
Element x y z (fractional)
Te 0.1262 0.1262 0.0000
Te 0.8738 0.8738 0.0000
Pt 0.2500 0.7500 0.5000
Pt 0.7500 0.2500 0.5000
Pb 0.5000 0.5000 0.0000

---

Preferred: entry ii; penalty for the next structure: 9.9 kJ/mol of atoms.

---

Entry i
VASP calculation (meta-GGA SCAN) on TlPtPb2 at its PBEsol-relaxed geometry.

Summary:
magnetization: 0.0 μB per cell
DOS at the Fermi energy: 2.095 states/eV per cell

abc: 5.1292 5.1292 5.1292
angles: 120.30 120.30 89.47
Element x y z (fractional)
Tl 0.0000 0.0000 0.0000
Pt 0.5000 0.5000 0.0000
Pb 0.2500 0.7500 0.5000
Pb 0.7500 0.2500 0.5000

---

Entry ii
VASP calculation (meta-GGA SCAN) on TlPtPb2 at its PBEsol-relaxed geometry.

Summary:
magnetization: 0.0 μB per cell
DOS at the Fermi energy: 1.495 states/eV per cell

abc: 3.6168 6.7267 6.7267
angles: 38.23 90.00 90.00
Element x y z (fractional)
Tl 0.0000 0.0000 0.0000
Pt 0.5000 0.8305 0.8305
Pb 0.0000 0.2850 0.2850
Pb 0.5000 0.6125 0.6125

---

Preferred: entry ii; penalty for the next structure: 15.6 kJ/mol of atoms.

---

Entry i
VASP calculation (meta-GGA SCAN) on TlPtPb2 at its PBEsol-relaxed geometry.

Summary:
magnetization: 0.0 μB per cell
DOS at the Fermi energy: 1.536 states/eV per cell

abc: 3.9010 3.9010 8.3970
angles: 103.00 103.00 59.84
Element x y z (fractional)
Tl 0.0000 0.0000 0.0000
Pt 0.5000 0.5000 0.5000
Pb 0.2317 0.2317 0.6986
Pb 0.7683 0.7683 0.3014

---

Entry ii
VASP calculation (meta-GGA SCAN) on TlPtPb2 at its PBEsol-relaxed geometry.

Summary:
magnetization: 0.0 μB per cell
DOS at the Fermi energy: 2.345 states/eV per cell

abc: 3.4037 3.4037 8.3268
angles: 90.00 90.00 90.00
Element x y z (fractional)
Tl 0.0000 0.0000 0.0000
Pt 0.5000 0.5000 0.1991
Pb 0.0000 0.0000 0.3996
Pb 0.5000 0.5000 0.7166

---

Preferred: entry i; penalty for the next structure: 16.1 kJ/mol of atoms.